LaAsBr2: optimized geometry, PBE-GGA.

Results
offset from the most stable computed form	1178	meV per atom
energy relative to the elements, uncorrected	-0.09	eV per atom
final energy	-3.322	eV/atom

a = 3.6680 Å, b = 3.6680 Å, c = 31.3490 Å
α = 90.00°, β = 90.00°, γ = 120.00°
Space group R-3m (No. 166, hexagonal axes)
Unique sites:
La 0.0000 0.0000 0.0000
As 0.0000 0.0000 0.5000
Br 0.0000 0.0000 0.0908